# K12Au5S3

Crystalline K12Au5S3 at its relaxed geometry (GGA-PBE, Alexandria via LeMat-Bulk).

* formation energy without anion corrections: -46.3 kJ/mol of atoms
* calculated volume: 841 Å³/f.u.
* theoretical density: 3.06 g/cm³

Geometry as CIF:
```
data_K12Au5S3
_space_group_name_H-M_alt 'I a -3 d'
_space_group_IT_number 230
_space_group_name_Hall '-I 4bd 2c 3'
_cell_length_a 18.880
_cell_length_b 18.880
_cell_length_c 18.880
_cell_angle_alpha 90.00
_cell_angle_beta 90.00
_cell_angle_gamma 90.00
loop_
_atom_site_label
_atom_site_type_symbol
_atom_site_fract_x
_atom_site_fract_y
_atom_site_fract_z
K1 K 0.017 0.081 0.655
Au1 Au 0.000 0.000 0.000
Au2 Au 0.000 0.250 0.375
S1 S 0.000 0.250 0.125
```